Density functional theory data (PBE) for an optimized crystal structure of AcPr2In.

## Properties
The magnetic moment is 0.00 μB per formula unit. Its energy relative to the lowest polymorph listed for this composition is 2.0 kJ/mol of atoms. The formation energy comes out at -0.211 eV/atom.

abc: 5.4213 9.0416 11.4036
angles: 90.00 90.00 90.00
Last column: nearest neighbours and their distance in Å.
Positions (direct):
In  0.7500  0.0002  0.3264  8 Pr 3.33-3.71, 2 Ac 3.61
In  0.2500  0.5002  0.1736  8 Pr 3.33-3.71, 2 Ac 3.61
In  0.2500  0.9998  0.6736  8 Pr 3.33-3.71, 2 Ac 3.61
In  0.7500  0.4998  0.8264  8 Pr 3.33-3.71, 2 Ac 3.61
Ac  0.7500  0.5000  0.3832  8 Pr 3.59-3.84, 2 In 3.61, 2 Ac 3.80
Ac  0.7500  0.0000  0.8832  8 Pr 3.59-3.84, 2 In 3.61, 2 Ac 3.80
Ac  0.2500  0.5000  0.6168  8 Pr 3.59-3.84, 2 In 3.61, 2 Ac 3.80
Ac  0.2500  0.0000  0.1168  8 Pr 3.59-3.84, 2 In 3.61, 2 Ac 3.80
Pr  0.2500  0.6990  0.8895  4 In 3.33-3.70, 1 Ac 3.59, 3 Pr 3.60-3.70
Pr  0.7500  0.1990  0.6105  4 In 3.33-3.70, 1 Ac 3.59, 3 Pr 3.60-3.70
Pr  0.2500  0.1993  0.3894  4 In 3.33-3.71, 1 Ac 3.59, 3 Pr 3.60-3.70
Pr  0.7500  0.3010  0.1105  4 In 3.33-3.70, 1 Ac 3.59, 3 Pr 3.60-3.70
Pr  0.7500  0.6993  0.1106  4 In 3.33-3.71, 1 Ac 3.59, 3 Pr 3.60-3.70
Pr  0.7500  0.8007  0.6106  4 In 3.33-3.71, 1 Ac 3.59, 3 Pr 3.60-3.70
Pr  0.2500  0.8010  0.3895  4 In 3.33-3.70, 1 Ac 3.59, 3 Pr 3.60-3.70
Pr  0.2500  0.3007  0.8894  4 In 3.33-3.71, 1 Ac 3.59, 3 Pr 3.60-3.70

Density functional theory data (PBE) for an optimized crystal structure of Mn2BeReH.

## Properties
The magnetic moment is 0.01 μB per formula unit. For the total energy, the calculation gives -37.289 eV per cell.

abc: 3.8996 3.8996 3.0984
angles: 90.00 90.00 90.00
Last column: nearest neighbours and their distance in Å.
Positions (direct):
H  0.0000  0.0000  0.0000  2 Be 1.55
Be  0.0000  0.0000  0.5000  2 H 1.55
Mn  0.5000  0.0000  0.0000  2 H 1.95
Mn  0.0000  0.5000  0.0000  2 H 1.95
Re  0.5000  0.5000  0.5000  8 Mn 2.49, 4 Be 2.76

Density functional theory data (PBE) for an optimized crystal structure of Mg2Zn4Pd.

## Properties
The magnetic moment is 0.00 μB per formula unit. The formation energy comes out at -0.205 eV/atom.

abc: 5.0570 6.9656 7.4778
angles: 111.20 90.20 89.74
Last column: nearest neighbours and their distance in Å.
Positions (direct):
Mg  0.7517  0.6931  0.0014  1 Pd 2.75, 4 Zn 2.85-2.91, 1 Mg 3.06
Mg  0.7506  0.2636  0.6891  3 Pd 2.70-2.79, 5 Zn 2.88-3.03
Mg  0.2483  0.3069  0.9986  1 Pd 2.75, 4 Zn 2.85-2.91, 1 Mg 3.06
Mg  0.2494  0.7364  0.3109  3 Pd 2.70-2.79, 5 Zn 2.88-3.03
Zn  0.0031  0.1770  0.3193  5 Zn 2.49-2.71, 2 Pd 2.63-2.68
Zn  0.5048  0.8195  0.6798  5 Zn 2.49-2.72, 2 Pd 2.63-2.68
Zn  0.9969  0.8230  0.6807  5 Zn 2.49-2.71, 2 Pd 2.63-2.68
Zn  0.4952  0.1805  0.3202  5 Zn 2.49-2.72, 2 Pd 2.63-2.68
Zn  0.7501  0.4845  0.2659  1 Pd 2.56, 3 Zn 2.64-2.74, 1 Mg 2.85
Zn  0.7485  0.0967  0.9893  7 Zn 2.65-2.90, 4 Mg 2.85-2.91
Zn  0.2515  0.9033  0.0107  7 Zn 2.65-2.90, 4 Mg 2.85-2.91
Zn  0.2499  0.5155  0.7341  1 Pd 2.56, 3 Zn 2.64-2.74, 1 Mg 2.85
Pd  0.2512  0.1213  0.6059  5 Zn 2.56-2.68, 4 Mg 2.70-2.79
Pd  0.7488  0.8787  0.3941  5 Zn 2.56-2.68, 4 Mg 2.70-2.79

no.,Fermi-level density of states (states/eV/cell)
1,19.34
2,4.06
3,4.23